# 1
The following is a GGA-PBE calculation of a relaxed AcLa2Ge2Pd7 crystal, from Alexandria.

a b c (Å): 6.085 5.970 14.094
angles (deg): 90.00 98.65 90.00
Space group C2/m (No. 12)
One atom of each set of equivalent atoms:
Ac 0.000 0.000 0.000
La 0.113 0.000 0.354
Ge 0.089 0.500 0.254
Pd 0.000 0.500 0.000
Pd 0.133 0.500 0.432
Pd 0.194 0.251 0.839

Results
Density in Mg/m³: 9.2
DOS(E_F) in states/eV per atom: 0.567
Calculated formation energy in eV per atom: -0.7786
Total magnetic moment in μB per cell: 0.0
Crystal system: monoclinic

***

# 2
The following is a GGA-PBE calculation of a relaxed Pr6Ni2SBr3 crystal, from Alexandria.

a b c (Å): 7.235 12.488 7.866
angles (deg): 90.00 107.76 90.00
Space group C2/m (No. 12)
One atom of each set of equivalent atoms:
Pr 0.217 0.000 0.198
Pr 0.241 0.326 0.199
Ni 0.000 0.167 0.000
S 0.000 0.500 0.000
Br 0.000 0.000 0.500
Br 0.000 0.339 0.500

Results
Density in Mg/m³: 6.1
DOS(E_F) in states/eV per atom: 0.821
Formation energy without anion corrections in eV/atom: -1.076
Total magnetic moment in μB per cell: 0.0
Crystal system: monoclinic

***

What is the formula in the second record? Pr6Ni2SBr3